Material: BeAgPt3
Method: DFT, PBE
State: optimized geometry

Properties
Polymorph energy (0 for the lowest one) (meV/atom): 1751
DFT total energy (eV per cell): -15.82
Calculated formation energy (eV/atom): 1.7761
V (Å³/atom): 23.015
SG: Pm-3m

Cell: 4.864 4.864 4.864 Å, 90.00 90.00 90.00°
Sites, in units of the cell vectors:
Be1 0.000 0.000 0.000
Ag1 0.500 0.500 0.500
Pt1 0.000 0.500 0.500
Pt2 0.500 0.000 0.500
Pt3 0.500 0.500 0.000